Computed, not measured: a relaxed Sm2Dy4S9 crystal at the GGA-PBE level of DFT.

a b c (Å): 6.9723 6.9719 18.6054
angles (deg): 90.00 90.00 60.00
Sites, in units of the cell vectors:
S  0.3433  0.0312  0.5836
S  0.3741  0.6571  0.4164
Sm  0.9997  0.0000  0.3529
S  0.3040  0.6963  0.7500
Dy  0.6670  0.6667  0.8153
Sm  0.9998  0.0000  0.1470
S  0.0313  0.6258  0.5836
S  0.3429  0.6257  0.0836
S  0.6255  0.0312  0.0836
Dy  0.6664  0.6666  0.3153
S  0.6966  0.0000  0.7500
S  0.0003  0.3037  0.7500
S  0.3745  0.9688  0.9164
S  0.6571  0.3743  0.9164
Dy  0.3330  0.3333  0.1847
Dy  0.3333  0.3334  0.4838
S  0.9687  0.3742  0.4164
S  0.9687  0.6572  0.9165
Dy  0.3336  0.3334  0.6847
S  0.0313  0.3428  0.0835
Dy  0.3334  0.3333  0.9838
S  0.9997  0.6963  0.2500
Sm  0.0003  0.0000  0.6471
S  0.3034  0.0000  0.2500
S  0.6567  0.9688  0.4164
Sm  0.0002  0.0000  0.8530
Dy  0.6667  0.6666  0.5162
Dy  0.6666  0.6667  0.0162
S  0.6960  0.3037  0.2500
S  0.6259  0.3429  0.5836

Properties
VASP energy: -95.74 eV per formula unit

Computed, not measured: a relaxed DyTmAgRh crystal at the GGA-PBE level of DFT.

a b c (Å): 4.9545 4.9545 4.9545
angles (deg): 60.00 60.00 60.00
Sites, in units of the cell vectors:
Ag  0.2500  0.2500  0.2500
Dy  0.0000  0.0000  0.0000
Rh  0.7500  0.7500  0.7500
Tm  0.5000  0.5000  0.5000

Properties
Excess energy over the best structure of this formula in the dataset: 0.020 eV/atom
VASP energy: -21.67 eV per formula unit

Computed, not measured: a relaxed RePbI3 crystal at the GGA-PBE level of DFT.

a b c (Å): 5.4809 5.4809 5.4809
angles (deg): 90.00 90.00 90.00
Last column: magnetic moment on the atom in μB.
Sites, in units of the cell vectors:
I  0.0000  0.5000  0.0000  0.02
Re  0.0000  0.0000  0.0000  1.72
I  0.5000  0.0000  0.0000  0.07
I  0.0000  0.0000  0.5000  0.05
Pb  0.5000  0.5000  0.5000  -0.13

Properties
Excess energy over the best structure of this formula in the dataset: 0.000 eV/atom
VASP energy: -17.57 eV per formula unit

Computed, not measured: a relaxed KLiBi2As crystal at the GGA-PBE level of DFT.

a b c (Å): 5.2091 5.2274 5.2091
angles (deg): 90.00 90.00 90.00
Sites, in units of the cell vectors:
Bi  0.0000  0.0000  0.5000
Li  0.0000  0.0000  0.0000
As  0.5000  0.5000  0.5000
K  0.0000  0.5000  0.0000
Bi  0.5000  0.0000  0.0000

Properties
VASP energy: -14.52 eV per formula unit

Computed, not measured: a relaxed Na3SnBi3 crystal at the GGA-PBE level of DFT.

a b c (Å): 6.5762 6.5762 6.5762
angles (deg): 108.97 108.97 108.97
Sites, in units of the cell vectors:
Bi  0.0377  0.0377  0.5475
Na  0.5387  0.5387  0.0695
Bi  0.0377  0.5475  0.0377
Na  0.5387  0.0695  0.5387
Na  0.0695  0.5387  0.5387
Sn  0.0297  0.0297  0.0297
Bi  0.5475  0.0377  0.0377

Properties
VASP energy: -20.90 eV per formula unit

Computed, not measured: a relaxed KCePdSe3 crystal at the GGA-PBE level of DFT.

a b c (Å): 4.2673 8.9134 9.6469
angles (deg): 107.19 90.00 90.00
Last column: magnetic moment on the atom in μB.
Sites, in units of the cell vectors:
Se  0.7500  0.2124  0.5308  0.00
K  0.2500  0.2025  0.2409  0.00
Se  0.2500  0.1119  0.8652  0.01
Ce  0.2500  0.6877  0.1596  -0.09
Se  0.7500  0.8881  0.1348  0.01
Se  0.7500  0.4611  0.1564  0.01
Se  0.2500  0.5389  0.8436  0.01
Pd  0.2500  0.0903  0.5824  0.00
Pd  0.7500  0.9097  0.4176  0.00
Se  0.2500  0.7876  0.4692  0.00
Ce  0.7500  0.3123  0.8404  -0.09
K  0.7500  0.7975  0.7591  0.00

Properties
VASP energy: -30.13 eV per formula unit

Computed, not measured: a relaxed NaAc2As crystal at the GGA-PBE level of DFT.

a b c (Å): 4.2188 4.2188 11.8970
angles (deg): 79.79 79.79 60.00
Sites, in units of the cell vectors:
Na  0.0000  0.0000  0.0000
As  0.5000  0.5000  0.5000
Ac  0.8870  0.8870  0.3390
Ac  0.1130  0.1130  0.6610

Properties
Excess energy over the best structure of this formula in the dataset: 0.000 eV/atom
VASP energy: -16.14 eV per formula unit

Computed, not measured: a relaxed Sc2TiV crystal at the GGA-PBE level of DFT.

a b c (Å): 4.8350 4.8350 4.8350
angles (deg): 60.00 60.00 60.00
Last column: magnetic moment on the atom in μB.
Sites, in units of the cell vectors:
Sc  0.7500  0.7500  0.7500  0.07
Sc  0.2500  0.2500  0.2500  0.07
Ti  0.0000  0.0000  0.0000  -1.07
V  0.5000  0.5000  0.5000  2.33

Properties
Excess energy over the best structure of this formula in the dataset: 0.000 eV/atom
VASP energy: -28.64 eV per formula unit